Entry 1:
First-principles (GGA-PBE) data for an optimized crystal structure of LiThBi, as listed in Alexandria.

## Properties
Energy relative to the lowest polymorph listed for this composition: 18 meV/atom
Calculated volume: 25.7 Å³ per atom
Energy relative to the elements: -0.461 eV/atom
Theoretical density: 9.642 Mg/m³

Lattice parameters (Å, degrees): 4.5726 4.5726 4.2605 90.00 90.00 120.00
Space group P-6m2 (No. 187)
Asymmetric unit:
Li1 0.0000 0.0000 0.0000 x1
Th1 0.3333 0.6667 0.5000 x1
Bi1 0.6667 0.3333 0.0000 x1

Entry 2:
First-principles (GGA-PBE) data for an optimized crystal structure of AcZnCd2Ag2, as listed in Alexandria.

## Properties
Calculated volume: 27.5 Å³ per atom
Energy relative to the elements: 0.066 eV/atom
Theoretical density: 7.378 Mg/m³

Lattice parameters (Å, degrees): 5.347 5.347 11.541 90.00 90.00 90.00
Space group I4/mmm (No. 139)
Asymmetric unit:
Ac1 0.000 0.000 0.000 x2
Zn1 0.000 0.000 0.500 x2
Cd1 0.000 0.500 0.250 x4
Ag1 0.000 0.000 0.285 x4

Entry 3:
First-principles (GGA-PBE) data for an optimized crystal structure of TiBe2TeOs, as listed in Alexandria.

## Properties
Calculated volume: 18.2 Å³ per atom
Theoretical density: 7.011 Mg/m³
ΔE_f (raw): 0.693 eV/atom

Lattice parameters (Å, degrees): 4.181 4.181 5.198 90.00 90.00 90.00
Space group P4/mmm (No. 123)
Asymmetric unit:
Ti1 0.000 0.000 0.000 x1
Be1 0.000 0.500 0.500 x2
Te1 0.500 0.500 0.000 x1
Os1 0.500 0.500 0.500 x1

Entry 4:
First-principles (GGA-PBE) data for an optimized crystal structure of LiCaHg, as listed in Alexandria.

## Properties
Energy relative to the lowest polymorph listed for this composition: 63 meV/atom
Calculated volume: 24.5 Å³ per atom
Energy relative to the elements: -0.340 eV/atom
Theoretical density: 5.592 Mg/m³

Lattice parameters (Å, degrees): 3.756 3.756 10.423 90.00 90.00 90.00
Space group I4mm (No. 107)
Asymmetric unit:
Li1 0.000 0.000 0.000 x2
Ca1 0.000 0.000 0.698 x2
Hg1 0.000 0.000 0.376 x2

Entry 5:
First-principles (GGA-PBE) data for an optimized crystal structure of ReNi2WCl, as listed in Alexandria.

## Properties
Calculated volume: 14.8 Å³ per atom
Theoretical density: 11.745 Mg/m³
ΔE_f (raw): 1.318 eV/atom

Lattice parameters (Å, degrees): 4.026 4.026 4.562 90.00 90.00 90.00
Space group P4/mmm (No. 123)
Asymmetric unit:
Re1 0.000 0.000 0.000 x1
Ni1 0.000 0.500 0.500 x2
W1 0.500 0.500 0.000 x1
Cl1 0.000 0.000 0.500 x1

Entry 6:
First-principles (GGA-PBE) data for an optimized crystal structure of Tm2Ga4Tc3, as listed in Alexandria.

## Properties
Calculated volume: 18.0 Å³ per atom
Energy relative to the elements: -0.386 eV/atom
Theoretical density: 9.346 Mg/m³

Lattice parameters (Å, degrees): 5.293 9.348 13.082 90.00 90.00 90.00
Space group Fmmm (No. 69)
Asymmetric unit:
Tm1 0.000 0.000 0.126 x8
Ga1 0.000 0.166 0.331 x16
Tc1 0.000 0.000 0.500 x4
Tc2 0.250 0.250 0.000 x8

Entry 7:
First-principles (GGA-PBE) data for an optimized crystal structure of V8GaCo6, as listed in Alexandria.

## Properties
Calculated volume: 13.4 Å³ per atom
Energy relative to the elements: 0.123 eV/atom
Theoretical density: 6.882 Mg/m³

Lattice parameters (Å, degrees): 6.7868 6.7868 15.0768 90.00 90.00 120.00
Space group R-3 (No. 148, hexagonal axes)
Asymmetric unit:
V1 0.0000 0.0000 0.1703 x6
V2 0.0046 0.3277 0.6197 x18
Ga1 0.0000 0.0000 0.5000 x3
Co1 0.0012 0.6585 0.5503 x18

Entry 8:
First-principles (GGA-PBE) data for an optimized crystal structure of SrBeIr2, as listed in Alexandria.

## Properties
Calculated volume: 19.4 Å³ per atom
Energy relative to the elements: -0.067 eV/atom
Theoretical density: 10.272 Mg/m³

Lattice parameters (Å, degrees): 10.089 3.014 5.562 90.00 113.12 90.00
Space group Cm (No. 8)
Asymmetric unit:
Sr1 0.000 0.000 0.000 x2
Be1 0.330 0.500 0.387 x2
Ir1 0.011 0.500 0.520 x2
Ir2 0.234 0.000 0.565 x2

Entry 9:
First-principles (GGA-PBE) data for an optimized crystal structure of GdInPb, as listed in Alexandria.

## Properties
Energy relative to the lowest polymorph listed for this composition: 23 meV/atom
Calculated volume: 28.2 Å³ per atom
Energy relative to the elements: -0.268 eV/atom
Theoretical density: 9.410 Mg/m³

Lattice parameters (Å, degrees): 3.831 3.831 11.522 90.00 90.00 90.00
Space group I4mm (No. 107)
Asymmetric unit:
Gd1 0.000 0.000 0.000 x2
In1 0.000 0.000 0.329 x2
Pb1 0.000 0.000 0.684 x2

Entry 10:
First-principles (GGA-PBE) data for an optimized crystal structure of Zr2CoPt, as listed in Alexandria.

## Properties
Calculated volume: 17.6 Å³ per atom
Energy relative to the elements: -0.593 eV/atom
Theoretical density: 10.273 Mg/m³

Lattice parameters (Å, degrees): 3.268 3.221 6.704 90.00 90.09 90.00
Space group P2/m (No. 10)
Asymmetric unit:
Zr1 0.001 0.000 0.264 x2
Co1 0.500 0.500 0.500 x1
Pt1 0.500 0.500 0.000 x1

Please write out number 1 again, unchanged.
First-principles (GGA-PBE) data for an optimized crystal structure of LiThBi, as listed in Alexandria.

## Properties
Energy relative to the lowest polymorph listed for this composition: 18 meV/atom
Calculated volume: 25.7 Å³ per atom
Energy relative to the elements: -0.461 eV/atom
Theoretical density: 9.642 Mg/m³

Lattice parameters (Å, degrees): 4.5726 4.5726 4.2605 90.00 90.00 120.00
Space group P-6m2 (No. 187)
Asymmetric unit:
Li1 0.0000 0.0000 0.0000 x1
Th1 0.3333 0.6667 0.5000 x1
Bi1 0.6667 0.3333 0.0000 x1